Record 1
MgNiN3 | PBE | relaxed

Lattice parameters (Å, degrees): 3.7060 3.7060 3.7060 90.00 90.00 90.00
Fractional positions:
Mg  0.0000  0.0000  0.0000
Ni  0.5000  0.5000  0.5000
N  0.0000  0.5000  0.5000
N  0.5000  0.0000  0.5000
N  0.5000  0.5000  0.0000

Total magnetic moment, Bohr magnetons per cell: 2.95
VASP energy, eV/atom: -5.3032
Energy relative to the elements, uncorrected, meV per atom: 1167
DOS at the Fermi energy, states/eV/f.u.: 2.38

***

Record 2
MgNiN3 | PBE | relaxed

Lattice parameters (Å, degrees): 3.8395 3.8395 3.8395 90.00 90.00 90.00
Fractional positions:
Mg  0.0000  0.0000  0.0000
Ni  0.5000  0.5000  0.5000
N  0.0000  0.0000  0.5000
N  0.0000  0.5000  0.0000
N  0.5000  0.0000  0.0000

Total magnetic moment, Bohr magnetons per cell: 1.10
VASP energy, eV/atom: -4.3096
Energy relative to the elements, uncorrected, meV per atom: 2161
DOS at the Fermi energy, states/eV/f.u.: 2.45

***

Record 3
Mg2NiN2 | PBE | relaxed

Lattice parameters (Å, degrees): 5.6162 5.6162 6.6838 119.72 119.72 43.35
Fractional positions:
Mg  0.0434  0.0434  0.2456
Mg  0.3196  0.3196  0.9368
Mg  0.6804  0.6804  0.0632
Mg  0.9566  0.9566  0.7544
Ni  0.3732  0.3732  0.3768
Ni  0.6268  0.6268  0.6232
N  0.1785  0.1785  0.0995
N  0.4725  0.4725  0.6976
N  0.5275  0.5275  0.3024
N  0.8215  0.8215  0.9005

Total magnetic moment, Bohr magnetons per cell: 0.00
VASP energy, eV/atom: -5.5150
Energy relative to the elements, uncorrected, meV per atom: -391
DOS at the Fermi energy, states/eV/f.u.: 1.18

***

Record 4
Mg2Ni6N | PBE | relaxed

Lattice parameters (Å, degrees): 5.2439 5.2439 5.2439 60.00 60.00 60.00
Fractional positions:
Mg  0.2500  0.2500  0.2500
Mg  0.7500  0.7500  0.7500
Ni  0.2449  0.2449  0.7551
Ni  0.2449  0.7551  0.2449
Ni  0.2449  0.7551  0.7551
Ni  0.7551  0.2449  0.2449
Ni  0.7551  0.2449  0.7551
Ni  0.7551  0.7551  0.2449
N  0.5000  0.5000  0.5000

Total magnetic moment, Bohr magnetons per cell: 0.00
VASP energy, eV/atom: -5.3394
Energy relative to the elements, uncorrected, meV per atom: -206
DOS at the Fermi energy, states/eV/f.u.: 5.91

***

Please write out number 4 again, unchanged.
Mg2Ni6N | PBE | relaxed

Lattice parameters (Å, degrees): 5.2439 5.2439 5.2439 60.00 60.00 60.00
Fractional positions:
Mg  0.2500  0.2500  0.2500
Mg  0.7500  0.7500  0.7500
Ni  0.2449  0.2449  0.7551
Ni  0.2449  0.7551  0.2449
Ni  0.2449  0.7551  0.7551
Ni  0.7551  0.2449  0.2449
Ni  0.7551  0.2449  0.7551
Ni  0.7551  0.7551  0.2449
N  0.5000  0.5000  0.5000

Total magnetic moment, Bohr magnetons per cell: 0.00
VASP energy, eV/atom: -5.3394
Energy relative to the elements, uncorrected, meV per atom: -206
DOS at the Fermi energy, states/eV/f.u.: 5.91

***

> Look up the VASP energy of the first one.

-5.3032 eV/atom

***

> Number 2 is which compound?

MgNiN3